The following is a DFT calculation (PBE-GGA) of a relaxed InAg5Hg crystal.

Properties
total magnetic moment = 0.000 μB per formula unit
calculated total energy = -2.3754 eV/atom
relative energy among the computed polymorphs = 75 meV/atom
ΔH_f (0 K) = 96 meV/atom

Cell lengths 9.871, 5.477, 10.648 Å; angles 90.00, 99.39, 90.00 degrees
Space group C2/c (No. 15)
Asymmetric unit:
In  0.000  0.205  0.250
Ag  0.000  0.287  0.750
Ag  0.163  0.033  0.549
Ag  0.241  0.455  0.184
Hg  0.000  0.500  0.000